! TlSb2Pt SCAN single point on PBEsol structure; values from VASP
! SG   I-4m2, No. 119
! Formation energy from raw total energies   0.29 eV per atom
! DFT total energy   -53.97 eV/atom
! Magnetization   0.00 Bohr magnetons per cell
&SYSTEM
  ibrav = 0, nat = 4, ntyp = 3
/
ATOMIC_SPECIES
Tl 204.38 Tl.upf
Sb 121.76 Sb.upf
Pt 195.08 Pt.upf
ATOMIC_POSITIONS angstrom
Tl 0.0000 0.0000 0.0000
Sb 2.3515 0.0000 2.0399
Sb 0.0000 0.0000 4.0799
Pt 0.0000 2.3515 2.0399
CELL_PARAMETERS angstrom
-2.3515 2.3515 4.0799
2.3515 -2.3515 4.0799
2.3515 2.3515 -4.0799